(1)
Compound: ZrZn2
Source: OQMD via LeMat-Bulk
Functional: PBE-GGA
Structure: optimized geometry

Computed properties:
The value obtained for the formation energy is -0.170 eV/atom.

a b c (Å): 12.988 7.789 4.287
angles (deg): 90.00 90.00 74.50
Element x y z (fractional)
Zn  0.351  0.890  0.000
Zn  0.149  0.209  0.000
Zn  0.232  0.643  0.000
Zn  0.629  0.075  0.000
Zr  0.377  0.618  0.500
Zr  0.822  0.086  0.500
Zr  0.185  0.438  0.500
Zn  0.046  0.152  0.500
Zn  0.936  0.300  0.000
Zn  0.504  0.502  0.000
Zn  0.843  0.471  0.500
Zr  0.817  0.743  0.000
Zn  0.691  0.860  0.500
Zr  0.372  0.275  0.000
Zn  0.157  0.811  0.500
Zr  0.721  0.367  0.000
Zn  0.259  0.061  0.500
Zn  0.565  0.286  0.500
Zn  0.617  0.589  0.500
Zn  0.962  0.718  0.500
Zn  0.577  0.772  0.000
Zr  0.010  0.923  0.000
Zn  0.037  0.550  0.000
Zr  0.474  0.994  0.500

(2)
Compound: SmSbPt
Source: OQMD via LeMat-Bulk
Functional: PBE-GGA
Structure: optimized geometry

a b c (Å): 8.192 8.192 3.735
angles (deg): 90.00 90.00 120.00
Element x y z (fractional)
Pt  0.657  0.000  0.000
Sb  0.333  0.667  0.500
Pt  0.343  0.343  0.000
Sm  0.000  0.288  0.500
Sb  0.000  0.000  0.000
Sm  0.712  0.712  0.500
Sb  0.667  0.333  0.500
Sm  0.288  0.000  0.500
Pt  0.000  0.657  0.000

(3)
Compound: AcRe
Source: OQMD via LeMat-Bulk
Functional: PBE-GGA
Structure: optimized geometry

Computed properties:
The calculation puts the excess energy over the best structure of this formula in the dataset at 1059 meV/atom. The value obtained for the formation energy is 1.587 eV/atom.

a b c (Å): 4.295 4.295 4.295
angles (deg): 60.00 60.00 60.00
Site moments in Bohr magnetons follow the coordinates.
Element x y z (fractional)
Ac  0.000  0.000  0.000  0.06
Re  0.500  0.500  0.500  1.84

(4)
Compound: MgScIr2
Source: OQMD via LeMat-Bulk
Functional: PBE-GGA
Structure: optimized geometry

a b c (Å): 4.475 4.475 8.182
angles (deg): 90.00 90.00 120.00
Element x y z (fractional)
Mg  0.667  0.333  0.750
Ir  0.333  0.667  0.600
Sc  0.000  0.000  0.000
Mg  0.333  0.667  0.250
Sc  0.000  0.000  0.500
Ir  0.667  0.333  0.100
Ir  0.333  0.667  0.900
Ir  0.667  0.333  0.400

(5)
Compound: AcTbAl
Source: OQMD via LeMat-Bulk
Functional: PBE-GGA
Structure: optimized geometry

Computed properties:
The calculation puts the excess energy over the best structure of this formula in the dataset at 0 meV/atom.

a b c (Å): 5.293 5.293 5.293
angles (deg): 60.00 60.00 60.00
Site moments in Bohr magnetons follow the coordinates.
Element x y z (fractional)
Ac  0.500  0.500  0.500  0.09
Al  0.250  0.250  0.250  0.00
Tb  0.000  0.000  0.000  0.19

(6)
Compound: Nb3CuCN
Source: OQMD via LeMat-Bulk
Functional: PBE-GGA
Structure: optimized geometry

a b c (Å): 3.160 3.160 18.200
angles (deg): 90.00 90.00 120.00
Element x y z (fractional)
N  0.667  0.333  0.071
Nb  0.333  0.667  0.363
C  0.667  0.333  0.425
Cu  0.000  0.000  0.249
Nb  0.667  0.333  0.637
Nb  0.667  0.333  0.863
N  0.333  0.667  0.929
Nb  0.000  0.000  0.000
C  0.333  0.667  0.575
Nb  0.333  0.667  0.137
Nb  0.000  0.000  0.500
Cu  0.000  0.000  0.751

(7)
Compound: HfThSc
Source: OQMD via LeMat-Bulk
Functional: PBE-GGA
Structure: optimized geometry

Computed properties:
The calculation puts the excess energy over the best structure of this formula in the dataset at 0 meV/atom. The value obtained for the formation energy is 0.784 eV/atom.

a b c (Å): 5.055 5.055 5.055
angles (deg): 60.00 60.00 60.00
Element x y z (fractional)
Th  0.750  0.750  0.750
Hf  0.000  0.000  0.000
Sc  0.250  0.250  0.250

(8)
Compound: YBeTlNi
Source: OQMD via LeMat-Bulk
Functional: PBE-GGA
Structure: optimized geometry

Computed properties:
The calculation puts the excess energy over the best structure of this formula in the dataset at 165 meV/atom.

a b c (Å): 4.704 4.704 4.704
angles (deg): 60.00 60.00 60.00
Element x y z (fractional)
Be  0.750  0.750  0.750
Tl  0.500  0.500  0.500
Ni  0.000  0.000  0.000
Y  0.250  0.250  0.250

no.,DFT total energy (hartree per atom)
1,-0.1419
2,-0.2025
3,-0.2454
4,-0.2538
5,-0.1523
6,-0.3306
7,-0.2615
8,-0.1610